1.
Here is crystalline SiGeCl2 at its relaxed geometry from the Alexandria database. Energies are from GGA-PBE.

SG: I-42d, No. 122

a b c (Å): 7.585 7.585 6.184
angles (deg): 52.18 52.18 90.00
Sites, in units of the cell vectors:
1 Cl 0.138 0.625 0.250
2 Cl 0.612 0.125 0.250
3 Cl 0.875 0.862 0.750
4 Cl 0.375 0.388 0.750
5 Si 0.250 0.750 0.500
6 Si 0.500 0.500 0.000
7 Ge 0.000 0.000 0.000
8 Ge 0.750 0.250 0.500

=====

2.
Here is crystalline SiGeCl2 at its relaxed geometry from the Alexandria database. Energies are from GGA-PBE.

SG: Fm-3m, No. 225

a b c (Å): 4.864 4.864 4.864
angles (deg): 60.00 60.00 60.00
Sites, in units of the cell vectors:
1 Cl 0.250 0.250 0.250
2 Cl 0.750 0.750 0.750
3 Si 0.000 0.000 0.000
4 Ge 0.500 0.500 0.500

=====

Result of the stability comparison: 1 is the most stable of them.

=====

1.
Here is crystalline SrGe2Cl6 at its relaxed geometry from the Alexandria database. Energies are from GGA-PBE.

SG: R3, No. 146

a b c (Å): 7.047 7.047 8.336
angles (deg): 65.00 65.00 60.00
Sites, in units of the cell vectors:
1 Ge 0.708 0.708 0.875
2 Ge 0.540 0.540 0.381
3 Sr 0.339 0.339 0.983
4 Cl 0.706 0.491 0.715
5 Cl 0.896 0.306 0.206
6 Cl 0.592 0.896 0.206
7 Cl 0.306 0.592 0.206
8 Cl 0.088 0.706 0.715
9 Cl 0.491 0.088 0.715

=====

2.
Here is crystalline SrGe2Cl6 at its relaxed geometry from the Alexandria database. Energies are from GGA-PBE.

SG: C2/c, No. 15

a b c (Å): 8.434 8.694 8.694
angles (deg): 88.67 72.04 72.04
Sites, in units of the cell vectors:
1 Cl 0.549 0.782 0.477
2 Cl 0.357 0.067 0.195
3 Cl 0.951 0.523 0.218
4 Cl 0.643 0.933 0.805
5 Cl 0.451 0.218 0.523
6 Cl 0.898 0.922 0.385
7 Cl 0.857 0.195 0.067
8 Cl 0.143 0.805 0.933
9 Cl 0.049 0.477 0.782
10 Cl 0.102 0.078 0.615
11 Cl 0.602 0.615 0.078
12 Cl 0.398 0.385 0.922
13 Ge 0.699 0.440 0.260
14 Ge 0.199 0.260 0.440
15 Ge 0.801 0.740 0.560
16 Ge 0.301 0.560 0.740
17 Sr 0.250 0.128 0.872
18 Sr 0.750 0.872 0.128

=====

Result of the stability comparison: 2 is the most stable of them.

=====

1.
Here is crystalline SrGeCl at its relaxed geometry from the Alexandria database. Energies are from GGA-PBE.

SG: Immm, No. 71

a b c (Å): 4.696 4.107 10.190
angles (deg): 101.63 103.32 90.00
Sites, in units of the cell vectors:
1 Cl 0.692 0.192 0.383
2 Cl 0.308 0.808 0.617
3 Sr 0.151 0.651 0.302
4 Sr 0.849 0.349 0.698
5 Ge 0.249 0.500 0.000
6 Ge 0.751 0.500 0.000

=====

2.
Here is crystalline SrGeCl at its relaxed geometry from the Alexandria database. Energies are from GGA-PBE.

SG: C2/m, No. 12

a b c (Å): 4.260 4.260 11.688
angles (deg): 88.18 88.18 60.04
Sites, in units of the cell vectors:
1 Ge 0.336 0.336 0.457
2 Ge 0.664 0.664 0.543
3 Cl 0.313 0.313 0.849
4 Cl 0.687 0.687 0.151
5 Sr 0.013 0.013 0.280
6 Sr 0.987 0.987 0.720

=====

Result of the stability comparison: 2 is the most stable of them.

=====

1.
Here is crystalline Sr2Ge2Cl at its relaxed geometry from the Alexandria database. Energies are from GGA-PBE.

SG: P4/mbm, No. 127

a b c (Å): 8.301 8.301 4.545
angles (deg): 90.00 90.00 90.00
Sites, in units of the cell vectors:
1 Sr 0.812 0.688 0.000
2 Sr 0.688 0.188 0.000
3 Sr 0.188 0.312 0.000
4 Sr 0.312 0.812 0.000
5 Ge 0.099 0.599 0.500
6 Ge 0.401 0.099 0.500
7 Ge 0.599 0.901 0.500
8 Ge 0.901 0.401 0.500
9 Cl 0.000 0.000 0.000
10 Cl 0.500 0.500 0.000

=====

2.
Here is crystalline Sr2Ge2Cl at its relaxed geometry from the Alexandria database. Energies are from GGA-PBE.

SG: C2/m, No. 12

a b c (Å): 4.372 4.372 8.703
angles (deg): 90.60 105.33 116.93
Sites, in units of the cell vectors:
1 Sr 0.167 0.593 0.760
2 Sr 0.833 0.407 0.240
3 Cl 0.000 0.000 0.000
4 Ge 0.643 0.817 0.460
5 Ge 0.357 0.183 0.540

=====

Result of the stability comparison: 2 is the most stable of them.

=====

1.
Here is crystalline SrGeCl2 at its relaxed geometry from the Alexandria database. Energies are from GGA-PBE.

SG: I-42d, No. 122

a b c (Å): 5.063 5.063 9.949
angles (deg): 75.26 75.26 90.00
Site moments in Bohr magnetons follow the coordinates.
Sites, in units of the cell vectors:
1 Cl 0.619 0.125 0.250  0.04
2 Cl 0.875 0.869 0.750  0.05
3 Cl 0.131 0.625 0.250  0.04
4 Cl 0.375 0.381 0.750  0.05
5 Sr 0.000 0.000 0.000  0.05
6 Sr 0.750 0.250 0.500  0.05
7 Ge 0.500 0.500 0.000  0.37
8 Ge 0.250 0.750 0.500  0.38

=====

2.
Here is crystalline SrGeCl2 at its relaxed geometry from the Alexandria database. Energies are from GGA-PBE.

SG: Fm-3m, No. 225

a b c (Å): 5.246 5.246 5.246
angles (deg): 60.00 60.00 60.00
Site moments in Bohr magnetons follow the coordinates.
Sites, in units of the cell vectors:
1 Sr 0.500 0.500 0.500  0.08
2 Cl 0.750 0.750 0.750  0.06
3 Cl 0.250 0.250 0.250  0.06
4 Ge 0.000 0.000 0.000  0.57

=====

Result of the stability comparison: 1 is the most stable of them.

=====

1.
Here is crystalline SrGe2Cl2 at its relaxed geometry from the Alexandria database. Energies are from GGA-PBE.

SG: I4/mmm, No. 139

a b c (Å): 4.833 4.833 6.697
angles (deg): 68.85 68.85 90.00
Sites, in units of the cell vectors:
1 Ge 0.599 0.599 0.803
2 Ge 0.401 0.401 0.197
3 Sr 0.000 0.000 0.000
4 Cl 0.250 0.750 0.500
5 Cl 0.750 0.250 0.500

=====

2.
Here is crystalline SrGe2Cl2 at its relaxed geometry from the Alexandria database. Energies are from GGA-PBE.

SG: P4/mbm, No. 127

a b c (Å): 7.782 7.782 5.132
angles (deg): 90.00 90.00 90.00
Sites, in units of the cell vectors:
1 Ge 0.609 0.109 0.000
2 Ge 0.109 0.391 0.000
3 Ge 0.391 0.891 0.000
4 Ge 0.891 0.609 0.000
5 Sr 0.500 0.500 0.000
6 Sr 0.000 0.000 0.000
7 Cl 0.674 0.174 0.500
8 Cl 0.326 0.826 0.500
9 Cl 0.174 0.326 0.500
10 Cl 0.826 0.674 0.500

=====

Result of the stability comparison: 2 is the most stable of them.

=====

1.
Here is crystalline SrGe3Cl at its relaxed geometry from the Alexandria database. Energies are from GGA-PBE.

SG: Pm-3m, No. 221

a b c (Å): 5.122 5.122 5.122
angles (deg): 90.00 90.00 90.00
Sites, in units of the cell vectors:
1 Sr 0.500 0.500 0.500
2 Ge 0.500 0.000 0.000
3 Ge 0.000 0.000 0.500
4 Ge 0.000 0.500 0.000
5 Cl 0.000 0.000 0.000

=====

2.
Here is crystalline SrGe3Cl at its relaxed geometry from the Alexandria database. Energies are from GGA-PBE.

SG: Pm-3m, No. 221

a b c (Å): 5.887 5.887 5.887
angles (deg): 90.00 90.00 90.00
Site moments in Bohr magnetons follow the coordinates.
Sites, in units of the cell vectors:
1 Ge 0.500 0.000 0.000  0.32
2 Ge 0.000 0.500 0.000  0.37
3 Ge 0.000 0.000 0.500  0.34
4 Sr 0.000 0.000 0.000  0.23
5 Cl 0.500 0.500 0.500  0.18

=====

Result of the stability comparison: 1 is the most stable of them.

=====

1.
Here is crystalline Sr2GeCl6 at its relaxed geometry from the Alexandria database. Energies are from GGA-PBE.

SG: P2_1/c, No. 14

a b c (Å): 6.965 7.372 10.287
angles (deg): 90.00 83.18 90.00
Sites, in units of the cell vectors:
1 Ge 0.000 0.000 0.500
2 Ge 0.500 0.500 0.000
3 Cl 0.190 0.316 0.943
4 Cl 0.310 0.816 0.557
5 Cl 0.673 0.200 0.088
6 Cl 0.835 0.934 0.740
7 Cl 0.810 0.684 0.057
8 Cl 0.690 0.184 0.443
9 Cl 0.173 0.300 0.588
10 Cl 0.665 0.434 0.760
11 Cl 0.327 0.800 0.912
12 Cl 0.827 0.700 0.412
13 Cl 0.165 0.066 0.260
14 Cl 0.335 0.566 0.240
15 Sr 0.953 0.402 0.228
16 Sr 0.547 0.902 0.272
17 Sr 0.047 0.598 0.772
18 Sr 0.453 0.098 0.728

=====

2.
Here is crystalline Sr2GeCl6 at its relaxed geometry from the Alexandria database. Energies are from GGA-PBE.

SG: P4_2/mnm, No. 136

a b c (Å): 6.630 6.630 13.028
angles (deg): 90.00 90.00 90.00
Sites, in units of the cell vectors:
1 Cl 0.690 0.690 0.344
2 Cl 0.310 0.310 0.656
3 Cl 0.190 0.810 0.844
4 Cl 0.810 0.190 0.844
5 Cl 0.209 0.791 0.500
6 Cl 0.810 0.190 0.156
7 Cl 0.310 0.310 0.344
8 Cl 0.690 0.690 0.656
9 Cl 0.190 0.810 0.156
10 Cl 0.709 0.709 0.000
11 Cl 0.291 0.291 0.000
12 Cl 0.791 0.209 0.500
13 Sr 0.000 0.000 0.333
14 Sr 0.500 0.500 0.833
15 Sr 0.500 0.500 0.167
16 Sr 0.000 0.000 0.667
17 Ge 0.000 0.000 0.000
18 Ge 0.500 0.500 0.500

=====

Result of the stability comparison: 1 is the most stable of them.